VASP calculation (PBE-GGA) on LaSiAu after structural relaxation.

Summary:
Formation energy (no corrections) in eV per atom: -0.319

a b c (Å): 3.8513 4.4774 8.6072
angles (deg): 90.00 90.00 90.00
With the nearest neighbours (Å) after each atom.
Space group Imm2 (No. 44)
One atom of each set of equivalent atoms:
La  0.0000  0.0000  0.0000 [2 per cell]  5 Si 3.02-3.22, 5 Au 3.03-3.22
Si  0.0000  0.0000  0.6496 [2 per cell]  1 Au 2.56
Au  0.0000  0.0000  0.3516 [2 per cell]  1 Si 2.56